A geometry-optimized Ba4Bi2Au structure, computed with PBE-GGA.

Lattice parameters (Å, degrees): 5.9620 5.9620 18.8216 90.00 90.00 90.00
Last column: nearest neighbours and their distance in Å.
Space group I4/mmm (No. 139)
Unique sites:
Ba1 0.0000 0.0000 0.1832  1 Au 3.45, 1 Bi 3.50
Ba2 0.0000 0.5000 0.0000  2 Au 2.98
Bi1 0.0000 0.0000 0.3693  5 Ba 3.50-3.87
Au1 0.0000 0.0000 0.0000  4 Ba 2.98

ΔE_f (eV/atom): -0.677

A geometry-optimized NiPd3Se2 structure, computed with PBE-GGA.

Lattice parameters (Å, degrees): 6.9472 10.3358 5.9614 90.00 90.00 90.00
Last column: nearest neighbours and their distance in Å.
Space group Ibam (No. 72)
Unique sites:
Ni1 0.0000 0.0000 0.0000  2 Se 2.33
Pd1 0.0000 0.2141 0.2500  4 Se 2.57-2.70, 2 Ni 2.67
Pd2 0.0000 0.5000 0.2500  4 Se 2.55
Se1 0.2265 0.3699 0.0000  1 Ni 2.33, 4 Pd 2.55-2.57

Formation energy (no corrections) (eV per formula unit): -0.245

A geometry-optimized LiErSbPd structure, computed with PBE-GGA.

Lattice parameters (Å, degrees): 6.9196 6.9196 6.9196 90.00 90.00 90.00
Last column: nearest neighbours and their distance in Å.
Space group F-43m (No. 216)
Unique sites:
Li1 0.0000 0.0000 0.0000  4 Pd 3.00, 4 Sb 3.00
Er1 0.0000 0.0000 0.5000  4 Sb 3.00, 4 Pd 3.00
Sb1 0.2500 0.2500 0.2500  4 Li 3.00, 4 Er 3.00
Pd1 0.2500 0.2500 0.7500  4 Er 3.00, 4 Li 3.00

Formation energy (no corrections) (eV per formula unit): -2.864

Number 1: final energy -3.3526 eV/atom, M_tot 0.000 μB per atom. Number 2: final energy -4.7624 eV/atom, M_tot 0.011 μB per atom. Number 3: final energy -4.6639 eV/atom, M_tot 0.000 μB per atom.